Material: LiZrNb4N8
Method: DFT, GGA-PBE
State: relaxed

Cell and atoms, written as POSCAR:
```
LiZrNb4N8
1.0
6.2714 0.0000 0.0000
3.1357 5.4312 0.0000
3.1357 1.8104 5.1354
Li Zr Nb N
1 1 4 8
Direct
0.0003 0.0003 0.9992
0.3795 0.3795 0.8614
0.6226 0.6226 0.1323
0.0012 0.4928 0.5049
0.4928 0.0012 0.5049
0.0012 0.0012 0.5049
0.2457 0.7840 0.7246
0.7840 0.2457 0.7246
0.2457 0.2457 0.7246
0.2422 0.2422 0.2733
0.7446 0.2399 0.2710
0.2399 0.7446 0.2710
0.7446 0.7446 0.2710
0.7559 0.7559 0.7323
```

Computed properties:
Total magnetization (μB per atom): 0.0000
Formation energy from raw total energies (eV/atom): -0.822
DOS at the Fermi energy (states/eV/f.u.): 3.4
Raw total energy (eV per atom): -9.2036

---

Material: CaH4N2
Method: DFT, GGA-PBE
State: relaxed

Cell and atoms, written as POSCAR:
```
CaH4N2
1.0
-5.6075 2.0479 -4.2031
1.1225 -4.8814 -3.8760
-3.3251 -5.1239 1.9395
Ca H N
4 16 8
Direct
0.3782 0.9988 0.7503
0.8782 0.5012 0.2497
0.6218 0.0012 0.2497
0.1218 0.4988 0.7503
0.0348 0.8827 0.9420
0.5348 0.6173 0.0580
0.9652 0.1173 0.0580
0.4652 0.3827 0.9420
0.1920 0.7448 0.1137
0.6920 0.7552 0.8863
0.8080 0.2552 0.8863
0.3080 0.2448 0.1137
0.2330 0.3269 0.3732
0.7330 0.1731 0.6268
0.7670 0.6731 0.6268
0.2670 0.8269 0.3732
0.0816 0.1351 0.4828
0.5816 0.3649 0.5172
0.9184 0.8649 0.5172
0.4184 0.6351 0.4828
0.1185 0.7443 0.9769
0.6185 0.7557 0.0231
0.8815 0.2557 0.0231
0.3815 0.2443 0.9769
0.1396 0.2759 0.5008
0.6396 0.2241 0.4992
0.8604 0.7241 0.4992
0.3604 0.7759 0.5008
```

Computed properties:
Total magnetization (μB per atom): 0.0000
Energy above the most stable polymorph in this dataset (eV/atom): 0.0000
DOS at the Fermi energy (states/eV/f.u.): 0.0
Raw total energy (eV per atom): -5.2061

---

Material: Er3InAg4
Method: DFT, GGA-PBE
State: relaxed

Cell and atoms, written as POSCAR:
```
Er3InAg4
1.0
3.4316 0.0000 0.0000
0.0000 6.1894 0.0000
-1.7158 -3.0947 9.1260
Er In Ag
3 1 4
Direct
0.2281 0.2281 0.4563
0.7719 0.7719 0.5437
0.0000 0.5000 0.0000
0.5000 0.0000 0.0000
0.3745 0.1458 0.7490
0.6255 0.8542 0.2510
0.6255 0.3968 0.2510
0.3745 0.6032 0.7490
```

Computed properties:
Total magnetization (μB per atom): 0.0000
DOS at the Fermi energy (states/eV/f.u.): 3.5
Formation energy from the elements (eV/atom): -0.15
Raw total energy (eV per atom): -3.6270

---

Material: LaHoRu
Method: DFT, GGA-PBE
State: relaxed

Cell and atoms, written as POSCAR:
```
LaHoRu
1.0
-3.8606 -5.7240 -0.5604
5.3090 -3.3759 -2.0924
1.4531 -1.6966 7.3176
La Ho Ru
4 4 4
Direct
0.4285 0.2328 0.8903
0.5715 0.7672 0.1097
0.9285 0.2672 0.6097
0.0715 0.7328 0.3903
0.9299 0.2403 0.1082
0.5701 0.7403 0.6082
0.0701 0.7597 0.8918
0.4299 0.2597 0.3918
0.2558 0.4902 0.6656
0.7442 0.5098 0.3344
0.2442 0.9902 0.1656
0.7558 0.0098 0.8344
```

Computed properties:
Total magnetization (μB per atom): 0.0000
Energy above the most stable polymorph in this dataset (eV/atom): 0.0000
DOS at the Fermi energy (states/eV/f.u.): 1.5
Formation energy from the elements (eV/atom): -0.27
Raw total energy (eV per atom): -6.5264

---

Material: MgAsPCl2
Method: DFT, GGA-PBE
State: relaxed

Cell and atoms, written as POSCAR:
```
MgAsPCl2
1.0
-0.2303 4.0665 -2.0171
-4.5378 -0.2591 -0.0041
-0.1507 2.5575 5.1731
P As Mg Cl
1 1 1 2
Direct
0.0000 0.0000 0.5000
0.5000 0.5000 0.5000
0.0000 0.0000 0.0000
0.0000 0.5000 0.0000
0.5000 0.0000 0.0000
```

Computed properties:
Total magnetization (μB per atom): 0.0001
Formation energy from raw total energies (eV/atom): -0.015
Energy above the most stable polymorph in this dataset (eV/atom): 0.0000
DOS at the Fermi energy (states/eV/f.u.): 4.3
Raw total energy (eV per atom): -3.0848

---

Material: Sc2AlCu
Method: DFT, GGA-PBE
State: relaxed

Cell and atoms, written as POSCAR:
```
Sc2AlCu
1.0
-2.0342 2.0257 -1.5517
-1.9132 0.1024 2.6417
3.5875 5.4315 2.3876
Sc Al Cu
2 1 1
Direct
0.0000 0.0000 0.9831
0.0000 0.0000 0.5169
0.5000 0.5000 0.2500
0.5000 0.5000 0.7500
```

Computed properties:
Total magnetization (μB per atom): 0.0000
DOS at the Fermi energy (states/eV/f.u.): 2.3
Formation energy from the elements (eV/atom): -0.38
Raw total energy (eV per atom): -5.5016

---

Material: CrPtSe2
Method: DFT, GGA-PBE
State: relaxed

Cell and atoms, written as POSCAR:
```
CrPtSe2
1.0
5.4849 -0.0392 0.0000
2.8705 4.6740 0.0000
-4.1777 -2.3174 2.6949
Cr Pt Se
1 1 2
Direct
0.5000 0.5000 0.0000
0.7500 0.2500 0.5000
0.0000 0.0000 0.0000
0.2500 0.7500 0.5000
```

Computed properties:
Total magnetization (μB per atom): 0.8312
Formation energy from raw total energies (eV/atom): 0.155
Energy above the most stable polymorph in this dataset (eV/atom): 0.4472
DOS at the Fermi energy (states/eV/f.u.): 2.9
Raw total energy (eV per atom): -5.5030

---

Material: LiZn2Se
Method: DFT, GGA-PBE
State: relaxed

Cell and atoms, written as POSCAR:
```
LiZn2Se
1.0
-4.6684 2.8661 -3.1912
-3.9105 -0.5242 -4.9624
-6.0833 -0.4587 -1.7250
Li Se Zn
1 1 2
Direct
0.4869 0.4869 0.4869
0.7497 0.7497 0.7497
0.0057 0.0057 0.0057
0.2577 0.2577 0.2577
```

Computed properties:
Total magnetization (μB per atom): 0.0000
Formation energy from raw total energies (eV/atom): -0.310
Energy above the most stable polymorph in this dataset (eV/atom): 0.0984
DOS at the Fermi energy (states/eV/f.u.): 1.1
Raw total energy (eV per atom): -2.2965

---

Material: MgAl2Zn2
Method: DFT, GGA-PBE
State: relaxed

Cell and atoms, written as POSCAR:
```
MgAl2Zn2
1.0
7.4465 0.0000 0.0000
0.0000 7.4465 0.0000
0.0000 0.0000 3.1768
Mg Zn Al
2 4 4
Direct
0.0000 0.0000 0.0000
0.5000 0.5000 0.0000
0.3764 0.8764 0.0000
0.8764 0.6236 0.0000
0.6236 0.1236 0.0000
0.1236 0.3764 0.0000
0.1761 0.6761 0.5000
0.6761 0.8239 0.5000
0.8239 0.3239 0.5000
0.3239 0.1761 0.5000
```

Computed properties:
Total magnetization (μB per atom): 0.0000
DOS at the Fermi energy (states/eV/f.u.): 1.8
Formation energy from the elements (eV/atom): 0.06
Raw total energy (eV per atom): -2.2653

---

Material: FeCoCl2
Method: DFT, GGA-PBE
State: relaxed

Cell and atoms, written as POSCAR:
```
FeCoCl2
1.0
3.2369 -0.0154 0.0000
-1.3856 2.9253 0.0000
0.0000 0.0000 8.1280
Co Fe Cl
1 1 2
Direct
0.0000 0.0000 0.5293
0.5000 0.5000 0.7127
0.0000 0.0000 0.9110
0.5000 0.5000 0.3470
```

Computed properties:
Total magnetization (μB per atom): 1.1607
Formation energy from raw total energies (eV/atom): -0.025
DOS at the Fermi energy (states/eV/f.u.): 3.3
Raw total energy (eV per atom): -4.8406

---

Material: NaIn2AsRh
Method: DFT, GGA-PBE
State: relaxed

Cell and atoms, written as POSCAR:
```
NaIn2AsRh
1.0
5.1973 0.0000 0.0000
0.0000 4.7055 0.0000
0.0000 0.0000 5.1973
Na As Rh In
1 1 1 2
Direct
0.0000 0.0000 0.0000
0.5000 0.5000 0.5000
0.0000 0.5000 0.0000
0.0000 0.0000 0.5000
0.5000 0.0000 0.0000
```

Computed properties:
Total magnetization (μB per atom): 0.0000
DOS at the Fermi energy (states/eV/f.u.): 3.3
Formation energy from the elements (eV/atom): 1.02
Raw total energy (eV per atom): -2.7387

---

Material: AcLaPm4Sm2
Method: DFT, GGA-PBE
State: relaxed

Cell and atoms, written as POSCAR:
```
AcLaPm4Sm2
1.0
-1.8086 3.6802 -6.1605
6.3912 -8.6195 -7.0249
-9.4469 2.0293 8.4409
Ac La Pm Sm
2 2 8 4
Direct
0.0000 0.5000 0.0000
0.0000 0.5000 0.5000
0.5000 0.5000 0.5000
0.0000 0.0000 0.0000
0.2537 0.7523 0.0036
0.7477 0.2461 0.4974
0.2523 0.7539 0.5026
0.7463 0.2477 0.9964
0.7490 0.7508 0.0008
0.7482 0.7520 0.4980
0.2518 0.2480 0.5020
0.2510 0.2492 0.9992
0.5000 0.0000 0.0000
0.5000 0.0000 0.5000
0.0000 0.0000 0.5000
0.5000 0.5000 0.0000
```

Computed properties:
Total magnetization (μB per atom): 0.0000
DOS at the Fermi energy (states/eV/f.u.): 13.5
Formation energy from the elements (eV/atom): 0.02
Raw total energy (eV per atom): -4.6601

---

Material: AlCr2Fe
Method: DFT, GGA-PBE
State: relaxed

Cell and atoms, written as POSCAR:
```
AlCr2Fe
1.0
-1.0923 0.8728 3.8918
0.1536 3.9004 1.3654
-3.5019 2.0674 0.7505
Cr Fe Al
2 1 1
Direct
0.2500 0.2500 0.2500
0.7500 0.7500 0.7500
0.5000 0.5000 0.5000
0.0000 0.0000 0.0000
```

Computed properties:
Total magnetization (μB per atom): 1.2449
Energy above the most stable polymorph in this dataset (eV/atom): 0.2359
DOS at the Fermi energy (states/eV/f.u.): 0.8
Formation energy from the elements (eV/atom): 0.09
Raw total energy (eV per atom): -7.7684

---

Material: Nd4HCS2
Method: DFT, GGA-PBE
State: relaxed

Cell and atoms, written as POSCAR:
```
Nd4HCS2
1.0
-1.0207 -1.5905 -3.4378
0.3621 -6.1513 2.7384
-6.3719 2.2975 0.8289
Nd H C S
4 1 1 2
Direct
0.5000 0.2659 0.2392
0.5000 0.7341 0.7608
0.0000 0.2681 0.7827
0.0000 0.7319 0.2173
0.0000 0.0000 0.0000
0.5000 0.5000 0.0000
0.5000 0.0000 0.5000
0.0000 0.5000 0.5000
```

Computed properties:
Total magnetization (μB per atom): 0.0000
DOS at the Fermi energy (states/eV/f.u.): 3.0
Raw total energy (eV per atom): -6.1352

---

Material: Ba2GaNiC
Method: DFT, GGA-PBE
State: relaxed

Cell and atoms, written as POSCAR:
```
Ba2GaNiC
1.0
6.0745 0.0000 0.0000
0.0000 3.6408 0.0000
0.0000 0.0000 6.0745
Ni C Ba Ga
1 1 2 1
Direct
0.0000 0.0000 0.0000
0.0000 0.5000 0.0000
0.0000 0.0000 0.5000
0.5000 0.0000 0.0000
0.5000 0.5000 0.5000
```

Computed properties:
Total magnetization (μB per atom): 0.0000
DOS at the Fermi energy (states/eV/f.u.): 3.0
Formation energy from the elements (eV/atom): 0.22
Raw total energy (eV per atom): -4.1566

---

Material: Co2PbSe
Method: DFT, GGA-PBE
State: relaxed

Cell and atoms, written as POSCAR:
```
Co2PbSe
1.0
-1.2278 3.0055 -5.7603
-5.0057 3.1747 -2.9302
3.7222 -1.0471 5.3638
Co Pb Se
2 1 1
Direct
0.0822 0.0822 0.0000
0.7544 0.2544 0.5000
0.4531 0.4531 0.0000
0.2103 0.7103 0.5000
```

Computed properties:
Total magnetization (μB per atom): 0.4379
Formation energy from raw total energies (eV/atom): 0.237
Energy above the most stable polymorph in this dataset (eV/atom): 0.1793
DOS at the Fermi energy (states/eV/f.u.): 4.3
Raw total energy (eV per atom): -5.1141

---

Material: Ac2IrBr2
Method: DFT, GGA-PBE
State: relaxed

Cell and atoms, written as POSCAR:
```
Ac2IrBr2
1.0
-1.6461 -3.5720 1.8449
1.1027 -3.9249 -1.5005
8.5044 -2.7992 7.2830
Ac Ir Br
2 1 2
Direct
0.3840 0.3840 0.8481
0.6160 0.6160 0.1519
0.0000 0.0000 0.0000
0.8880 0.8880 0.3360
0.1120 0.1120 0.6640
```

Computed properties:
Total magnetization (μB per atom): 0.0001
Formation energy from raw total energies (eV/atom): -1.305
Energy above the most stable polymorph in this dataset (eV/atom): 0.0705
DOS at the Fermi energy (states/eV/f.u.): 3.4
Raw total energy (eV per atom): -5.3899

---

Material: CaHf2F
Method: DFT, GGA-PBE
State: relaxed

Cell and atoms, written as POSCAR:
```
CaHf2F
1.0
-1.7726 2.1408 -6.3062
-4.9463 -4.7929 -0.2367
-6.0149 1.3330 -1.6224
Ca Hf F
2 4 2
Direct
0.0000 0.0000 0.0000
0.7500 0.2500 0.5000
0.2772 0.1250 0.2500
0.4728 0.6250 0.2500
0.3750 0.7228 0.7500
0.8750 0.5272 0.7500
0.5000 0.5000 0.0000
0.2500 0.7500 0.5000
```

Computed properties:
Total magnetization (μB per atom): 0.0000
Formation energy from raw total energies (eV/atom): -0.305
Energy above the most stable polymorph in this dataset (eV/atom): 0.0000
DOS at the Fermi energy (states/eV/f.u.): 3.6
Raw total energy (eV per atom): -6.2497

---

Material: LiTi2TlO
Method: DFT, GGA-PBE
State: relaxed

Cell and atoms, written as POSCAR:
```
LiTi2TlO
1.0
4.1301 0.0000 0.0000
0.0000 4.1301 0.0000
0.0000 0.0000 4.2801
Tl Li O Ti
1 1 1 2
Direct
0.5000 0.5000 0.5000
0.0000 0.0000 0.5000
0.0000 0.0000 0.0000
0.0000 0.5000 0.0000
0.5000 0.0000 0.0000
```

Computed properties:
Total magnetization (μB per atom): 0.0007
Formation energy from raw total energies (eV/atom): -1.085
DOS at the Fermi energy (states/eV/f.u.): 3.5
Raw total energy (eV per atom): -6.0909

---

Material: NaTlNiCl6
Method: DFT, GGA-PBE
State: relaxed

Cell and atoms, written as POSCAR:
```
NaTlNiCl6
1.0
-6.2268 0.3671 1.9216
3.2696 -5.6187 0.5836
3.7142 3.3452 11.3966
Na Tl Ni Cl
2 2 2 12
Direct
0.0000 0.0000 0.0000
0.0000 0.0000 0.5000
0.3333 0.6667 0.2500
0.6667 0.3333 0.7500
0.6667 0.3333 0.2500
0.3333 0.6667 0.7500
0.6530 0.6257 0.1365
0.9727 0.3470 0.1365
0.3470 0.9727 0.6365
0.0273 0.6530 0.8635
0.3743 0.3470 0.3635
0.9727 0.6257 0.3635
0.6257 0.9727 0.8635
0.6530 0.0273 0.3635
0.0273 0.3743 0.6365
0.3743 0.0273 0.1365
0.6257 0.6530 0.6365
0.3470 0.3743 0.8635
```

Computed properties:
Total magnetization (μB per atom): 0.2322
Formation energy from raw total energies (eV/atom): -0.884
Raw total energy (eV per atom): -3.1672